# Eu2PdPb

Crystalline Eu2PdPb at its relaxed geometry (PBE, Alexandria).

## Properties
For the total energy, the calculation gives -7.95 eV/atom. The formation energy comes out at -0.589 eV/atom. As for the space-group type: P4/mmm (123).

```
Eu2PdPb
1.0
3.628 0.000 0.000
0.000 3.628 0.000
0.000 0.000 8.443
Eu Pd Pb
2 1 1
Direct
0.000 0.000 0.217
0.000 0.000 0.783
0.500 0.500 0.000
0.500 0.500 0.500
```

---

# GdTeCl

Crystalline GdTeCl at its relaxed geometry (PBE, Alexandria).

## Properties
For the total energy, the calculation gives -7.97 eV/atom. As for the space-group type: P-6m2 (187). For the uncorrected formation energy, the calculation gives -1.6108 eV/atom.

```
GdTeCl
1.0
4.716 0.000 0.000
-2.358 4.084 0.000
0.000 0.000 4.251
Gd Te Cl
1 1 1
Direct
0.000 0.000 0.000
0.667 0.333 0.500
0.333 0.667 0.000
```

---

# La3CeZr2As6

Crystalline La3CeZr2As6 at its relaxed geometry (PBE, Alexandria).

## Properties
For the total energy, the calculation gives -6.86 eV/atom. The formation energy comes out at -1.384 eV/atom. As for the space-group type: C2/m (12).

```
La3CeZr2As6
1.0
3.592 -6.224 0.000
3.592 6.224 0.000
-2.401 0.000 6.854
La Ce Zr As
3 1 2 6
Direct
0.000 0.000 0.000
0.336 0.664 0.000
0.664 0.336 0.000
0.500 0.500 0.500
0.167 0.833 0.500
0.833 0.167 0.500
0.081 0.424 0.273
0.231 0.231 0.724
0.424 0.081 0.273
0.576 0.919 0.727
0.769 0.769 0.276
0.919 0.576 0.727
```

---

# Ce4Mn3Ge16

Crystalline Ce4Mn3Ge16 at its relaxed geometry (PBE, Alexandria).

## Properties
For the total energy, the calculation gives -5.83 eV/atom. The formation energy comes out at -0.393 eV/atom. As for the space-group type: P4/mmm (123).

```
Ce4Mn3Ge16
1.0
6.115 0.000 0.000
0.000 6.115 0.000
0.000 0.000 11.319
Ce Mn Ge
4 3 16
Direct
0.000 0.500 0.197
0.000 0.500 0.803
0.500 0.000 0.197
0.500 0.000 0.803
0.000 0.000 0.000
0.000 0.500 0.500
0.500 0.000 0.500
0.000 0.000 0.226
0.000 0.000 0.774
0.251 0.251 0.386
0.251 0.251 0.614
0.251 0.749 0.386
0.251 0.749 0.614
0.285 0.285 0.000
0.285 0.715 0.000
0.500 0.500 0.213
0.500 0.500 0.787
0.715 0.285 0.000
0.715 0.715 0.000
0.749 0.251 0.386
0.749 0.251 0.614
0.749 0.749 0.386
0.749 0.749 0.614
```

---

# DyTm12Pb7

Crystalline DyTm12Pb7 at its relaxed geometry (PBE, Alexandria).

## Properties
For the total energy, the calculation gives -4.43 eV/atom. The formation energy comes out at -0.222 eV/atom. As for the space-group type: R-3 (148).

```
DyTm12Pb7
1.0
7.616 4.397 2.977
-7.616 4.397 2.977
0.000 -8.794 2.977
Dy Tm Pb
1 12 7
Direct
0.000 0.000 0.000
0.001 0.721 0.280
0.171 0.505 0.505
0.279 0.720 0.999
0.280 0.001 0.721
0.495 0.495 0.829
0.495 0.829 0.495
0.505 0.171 0.505
0.505 0.505 0.171
0.720 0.999 0.279
0.721 0.280 0.001
0.829 0.495 0.495
0.999 0.279 0.720
0.131 0.131 0.435
0.131 0.435 0.131
0.435 0.131 0.131
0.500 0.500 0.500
0.565 0.869 0.869
0.869 0.565 0.869
0.869 0.869 0.565
```

---

# Nd5ErTl6

Crystalline Nd5ErTl6 at its relaxed geometry (PBE, Alexandria).

## Properties
For the total energy, the calculation gives -3.93 eV/atom. The formation energy comes out at -0.377 eV/atom. As for the space-group type: Cmmm (65).

```
Nd5ErTl6
1.0
2.758 -8.281 0.000
2.758 8.281 0.000
0.000 0.000 7.696
Nd Er Tl
5 1 6
Direct
0.000 0.000 0.000
0.330 0.670 0.000
0.334 0.666 0.500
0.666 0.334 0.500
0.670 0.330 0.000
0.000 0.000 0.500
0.163 0.837 0.255
0.163 0.837 0.745
0.500 0.500 0.254
0.500 0.500 0.746
0.837 0.163 0.255
0.837 0.163 0.745
```